# 1
Density functional theory data (PBE-GGA) for a relaxed La5In2Te2 crystal.

Cell lengths 9.229, 9.229, 8.544 Å; angles 90.00, 90.00, 55.19 degrees
Element x y z (fractional)
La (0.000, 0.000, 0.000)
La (0.032, 0.687, 0.666)
La (0.187, 0.532, 0.166)
La (0.313, 0.968, 0.666)
La (0.468, 0.813, 0.166)
La (0.500, 0.500, 0.500)
La (0.532, 0.187, 0.834)
La (0.687, 0.032, 0.334)
La (0.813, 0.468, 0.834)
La (0.968, 0.313, 0.334)
In (0.125, 0.875, 0.378)
In (0.375, 0.625, 0.878)
In (0.625, 0.375, 0.122)
In (0.875, 0.125, 0.622)
Te (0.199, 0.199, 0.000)
Te (0.301, 0.301, 0.500)
Te (0.699, 0.699, 0.500)
Te (0.801, 0.801, 0.000)

Values from the calculation:
space-group type: No. 64
calculated total energy: -4.980 eV per atom



# 2
Density functional theory data (PBE-GGA) for a relaxed PrDy2Mg crystal.

Cell lengths 5.568, 5.568, 5.568 Å; angles 60.00, 60.00, 60.00 degrees
Element x y z (fractional)
Pr (0.000, 0.000, 0.000)
Dy (0.250, 0.250, 0.250)
Dy (0.750, 0.750, 0.750)
Mg (0.500, 0.500, 0.500)

Values from the calculation:
excess energy over the best structure of this formula in the dataset: 124 meV/atom
space-group type: No. 225
calculated total energy: -3.801 eV per atom



# 3
Density functional theory data (PBE-GGA) for a relaxed Sm2Pu2S7 crystal.

Cell lengths 8.496, 8.496, 8.496 Å; angles 153.17, 67.93, 118.90 degrees
Element x y z (fractional)
Sm (0.000, 0.000, 0.000)
Sm (0.544, 0.044, 0.500)
Pu (0.001, 0.244, 0.757)
Pu (0.487, 0.244, 0.243)
S (0.197, 0.555, 0.642)
S (0.250, 0.937, 0.313)
S (0.320, 0.320, 0.000)
S (0.609, 0.722, 0.887)
S (0.624, 0.937, 0.687)
S (0.835, 0.722, 0.113)
S (0.913, 0.555, 0.358)

Values from the calculation:
space-group type: No. 44
calculated total energy: -7.732 eV per atom